No. 1
Material: K3Sb2
Method: DFT, GGA-PBE
State: optimized geometry

POSCAR file:
```
K3Sb2
1.0
5.951 0.000 0.000
-2.975 5.154 0.000
0.000 0.000 7.242
K Sb
3 2
direct
0.000 0.000 0.000
0.333 0.667 0.336
0.667 0.333 0.664
0.333 0.667 0.848
0.667 0.333 0.152
```

Calculated volume (Å³/cell): 222.1
Magnetization (Bohr magnetons per cell): 2.570
Uncorrected energy (eV/atom): -2.439
ΔE to the lowest computed polymorph (meV/atom): 260

***

No. 2
Material: CaCuSe2
Method: DFT, GGA-PBE
State: optimized geometry

POSCAR file:
```
CaCuSe2
1.0
2.160 1.247 7.632
-2.160 1.247 7.632
0.000 -2.494 7.632
Ca Cu Se
1 1 2
direct
0.000 0.000 0.000
0.500 0.500 0.500
0.403 0.403 0.403
0.597 0.597 0.597
```

Calculated volume (Å³/cell): 123.4
Magnetization (Bohr magnetons per cell): 0.000
Uncorrected energy (eV/atom): -4.014

***

No. 3
Material: La2YAl
Method: DFT, GGA-PBE
State: optimized geometry

POSCAR file:
```
La2YAl
1.0
1.858 1.073 10.855
-1.858 1.073 10.855
0.000 -2.146 10.855
La Y Al
2 1 1
direct
0.240 0.240 0.240
0.760 0.760 0.760
0.000 0.000 0.000
0.500 0.500 0.500
```

Calculated volume (Å³/cell): 129.8
Magnetization (Bohr magnetons per cell): 0.000
Uncorrected energy (eV/atom): -4.999

***

No. 4
Material: Mo2Pt2Rh
Method: DFT, GGA-PBE
State: optimized geometry

POSCAR file:
```
Mo2Pt2Rh
1.0
7.621 0.000 0.000
0.000 7.621 0.000
0.000 0.000 2.781
Mo Pt Rh
4 4 2
direct
0.173 0.327 0.000
0.327 0.827 0.000
0.673 0.173 0.000
0.827 0.673 0.000
0.125 0.625 0.500
0.375 0.125 0.500
0.625 0.875 0.500
0.875 0.375 0.500
0.000 0.000 0.500
0.500 0.500 0.500
```

Calculated volume (Å³/cell): 161.5
Magnetization (Bohr magnetons per cell): 0.000
Uncorrected energy (eV/atom): -8.209
ΔE to the lowest computed polymorph (meV/atom): 243

***

No. 5
Material: Ba4TiP4
Method: DFT, GGA-PBE
State: optimized geometry

POSCAR file:
```
Ba4TiP4
1.0
13.273 0.000 0.000
0.000 13.273 0.000
0.000 0.000 13.273
Ba Ti P
32 8 32
direct
0.091 0.136 0.649
0.091 0.864 0.351
0.136 0.351 0.909
0.136 0.649 0.091
0.149 0.149 0.149
0.149 0.364 0.409
0.149 0.636 0.591
0.149 0.851 0.851
0.351 0.091 0.864
0.351 0.351 0.649
0.351 0.649 0.351
0.351 0.909 0.136
0.364 0.409 0.149
0.364 0.591 0.851
0.409 0.149 0.364
0.409 0.851 0.636
0.591 0.149 0.636
0.591 0.851 0.364
0.636 0.409 0.851
0.636 0.591 0.149
0.649 0.091 0.136
0.649 0.351 0.351
0.649 0.649 0.649
0.649 0.909 0.864
0.851 0.149 0.851
0.851 0.364 0.591
0.851 0.636 0.409
0.851 0.851 0.149
0.864 0.351 0.091
0.864 0.649 0.909
0.909 0.136 0.351
0.909 0.864 0.649
0.000 0.000 0.000
0.000 0.500 0.250
0.000 0.500 0.750
0.250 0.000 0.500
0.500 0.250 0.000
0.500 0.500 0.500
0.500 0.750 0.000
0.750 0.000 0.500
0.104 0.389 0.650
0.104 0.611 0.350
0.105 0.105 0.895
0.105 0.895 0.105
0.111 0.396 0.150
0.111 0.604 0.850
0.150 0.111 0.396
0.150 0.889 0.604
0.350 0.104 0.611
0.350 0.896 0.389
0.389 0.350 0.896
0.389 0.650 0.104
0.395 0.395 0.395
0.395 0.605 0.605
0.396 0.150 0.111
0.396 0.850 0.889
0.604 0.150 0.889
0.604 0.850 0.111
0.605 0.395 0.605
0.605 0.605 0.395
0.611 0.350 0.104
0.611 0.650 0.896
0.650 0.104 0.389
0.650 0.896 0.611
0.850 0.111 0.604
0.850 0.889 0.396
0.889 0.396 0.850
0.889 0.604 0.150
0.895 0.105 0.105
0.895 0.895 0.895
0.896 0.389 0.350
0.896 0.611 0.650
```

Calculated volume (Å³/cell): 2338.4
Magnetization (Bohr magnetons per cell): 0.000
Uncorrected energy (eV/atom): -5.206
ΔE to the lowest computed polymorph (meV/atom): 0

***

No. 6
Material: CaAgAu
Method: DFT, GGA-PBE
State: optimized geometry

POSCAR file:
```
CaAgAu
1.0
0.000 6.902 8.046
2.619 0.000 8.046
2.619 6.902 0.000
Ca Ag Au
4 4 4
direct
0.022 0.748 0.252
0.252 0.978 0.022
0.748 0.022 0.978
0.978 0.252 0.748
0.318 0.682 0.318
0.410 0.410 0.590
0.590 0.590 0.410
0.682 0.318 0.682
0.138 0.467 0.533
0.467 0.138 0.862
0.533 0.862 0.138
0.862 0.533 0.467
```

Calculated volume (Å³/cell): 290.9
Magnetization (Bohr magnetons per cell): 0.000
Uncorrected energy (eV/atom): -3.088
ΔE to the lowest computed polymorph (meV/atom): 121

***

> What is the formula in the fifth record?

Ba4TiP4